## TlAu2F8 (PBE)

Data for an optimized crystal structure of TlAu2F8.

Summary:
- ΔE to the lowest computed polymorph (meV/atom) = 178.4
- ρ (Mg/m³) = 6.48
- DFT total energy (eV/atom) = -3.19
- energy relative to the elements, uncorrected (kJ/mol of atoms) = -97.9
- total magnetic moment (Bohr magnetons per cell) = 0.000

```
TlAu2F8
1.0
6.292 -3.714 0.000
6.292 3.714 0.000
-0.319 0.000 4.111
Tl Au F
1 2 8
Direct
0.000 0.000 0.000 Tl
0.259 0.259 0.752 Au
0.741 0.741 0.248 Au
0.072 0.727 0.254 F
0.239 0.239 0.248 F
0.273 0.928 0.746 F
0.415 0.415 0.770 F
0.585 0.585 0.230 F
0.727 0.072 0.254 F
0.761 0.761 0.752 F
0.928 0.273 0.746 F
```

---

## TlAuF2 (PBE)

Data for an optimized crystal structure of TlAuF2.

Summary:
- ΔE to the lowest computed polymorph (meV/atom) = 196.8
- ρ (Mg/m³) = 9.13
- DFT total energy (eV/atom) = -3.35
- energy relative to the elements, uncorrected (kJ/mol of atoms) = -96.8
- total magnetic moment (Bohr magnetons per cell) = 0.000

```
TlAuF2
1.0
-2.306 2.306 7.517
2.306 -2.306 7.517
2.306 2.306 -7.517
Tl Au F
2 2 4
Direct
0.000 0.000 0.000 Tl
0.750 0.250 0.500 Tl
0.250 0.750 0.500 Au
0.500 0.500 0.000 Au
0.192 0.125 0.567 F
0.375 0.808 0.933 F
0.558 0.625 0.433 F
0.875 0.442 0.067 F
```

---

## TlAuF2 (PBE)

Data for an optimized crystal structure of TlAuF2.

Summary:
- ΔE to the lowest computed polymorph (meV/atom) = 284.4
- ρ (Mg/m³) = 10.95
- DFT total energy (eV/atom) = -3.26
- energy relative to the elements, uncorrected (kJ/mol of atoms) = -88.4
- total magnetic moment (Bohr magnetons per cell) = 0.000

```
TlAuF2
1.0
0.000 3.218 3.218
3.218 0.000 3.218
3.218 3.218 0.000
Tl Au F
1 1 2
Direct
0.000 0.000 0.000 Tl
0.500 0.500 0.500 Au
0.250 0.250 0.250 F
0.750 0.750 0.750 F
```

---

## TlAu3F (PBE)

Data for an optimized crystal structure of TlAu3F.

Summary:
- ΔE to the lowest computed polymorph (meV/atom) = 429.9
- ρ (Mg/m³) = 8.92
- DFT total energy (eV/atom) = -2.18
- energy relative to the elements, uncorrected (kJ/mol of atoms) = 61.0
- total magnetic moment (Bohr magnetons per cell) = 0.258

```
TlAu3F
1.0
5.331 0.000 0.000
0.000 5.331 0.000
0.000 0.000 5.331
Tl Au F
1 3 1
Direct
0.000 0.000 0.000 Tl
0.000 0.000 0.500 Au
0.000 0.500 0.000 Au
0.500 0.000 0.000 Au
0.500 0.500 0.500 F
```

---

## Tl2AuF (PBE)

Data for an optimized crystal structure of Tl2AuF.

Summary:
- ΔE to the lowest computed polymorph (meV/atom) = 0.0
- ρ (Mg/m³) = 10.08
- DFT total energy (eV/atom) = -3.22
- energy relative to the elements, uncorrected (kJ/mol of atoms) = -72.8
- total magnetic moment (Bohr magnetons per cell) = 0.000

```
Tl2AuF
1.0
2.017 1.165 7.298
-2.017 1.165 7.298
0.000 -2.330 7.298
Tl Au F
2 1 1
Direct
0.000 0.000 0.000 Tl
0.186 0.186 0.186 Tl
0.760 0.760 0.760 Au
0.591 0.591 0.591 F
```

---

## Tl4Au2F (PBE)

Data for an optimized crystal structure of Tl4Au2F.

Summary:
- ρ (Mg/m³) = 10.21
- DFT total energy (eV/atom) = -2.92
- energy relative to the elements, uncorrected (kJ/mol of atoms) = -35.3
- total magnetic moment (Bohr magnetons per cell) = 0.000

```
Tl4Au2F
1.0
-2.566 2.566 7.600
2.566 -2.566 7.600
2.566 2.566 -7.600
Tl Au F
4 2 1
Direct
0.000 0.500 0.500 Tl
0.187 0.187 0.000 Tl
0.500 0.000 0.500 Tl
0.813 0.813 0.000 Tl
0.382 0.382 0.000 Au
0.618 0.618 0.000 Au
0.000 0.000 0.000 F
```

---

## TlAu2F (PBE)

Data for an optimized crystal structure of TlAu2F.

Summary:
- ΔE to the lowest computed polymorph (meV/atom) = 176.6
- ρ (Mg/m³) = 13.68
- DFT total energy (eV/atom) = -2.91
- energy relative to the elements, uncorrected (kJ/mol of atoms) = -20.4
- total magnetic moment (Bohr magnetons per cell) = 0.000

```
TlAu2F
1.0
0.000 3.346 3.346
3.346 0.000 3.346
3.346 3.346 0.000
Tl Au F
1 2 1
Direct
0.000 0.000 0.000 Tl
0.250 0.250 0.250 Au
0.750 0.750 0.750 Au
0.500 0.500 0.500 F
```

---

## TlAu2F (PBE)

Data for an optimized crystal structure of TlAu2F.

Summary:
- ΔE to the lowest computed polymorph (meV/atom) = 0.0
- ρ (Mg/m³) = 12.78
- DFT total energy (eV/atom) = -3.09
- energy relative to the elements, uncorrected (kJ/mol of atoms) = -37.4
- total magnetic moment (Bohr magnetons per cell) = 0.000

```
TlAu2F
1.0
-3.874 3.874 2.672
3.874 -3.874 2.672
3.874 3.874 -2.672
Tl Au F
2 4 2
Direct
0.000 0.000 0.000 Tl
0.750 0.250 0.500 Tl
0.151 0.125 0.526 Au
0.375 0.849 0.974 Au
0.599 0.625 0.474 Au
0.875 0.401 0.026 Au
0.250 0.750 0.500 F
0.500 0.500 0.000 F
```